NbGaTcOs, optimized geometry, DFT PBE; electronic total energy = -35.64 eV per cell; energy of formation = -0.94 eV per formula unit; DOS at the Fermi energy = 0.6694 states/eV/atom
1.0
-2.539 1.005 -3.485
-1.185 -3.164 -2.862
-4.202 -1.388 -0.151
Ga Nb Tc Os
1 1 1 1
direct
0.250 0.250 0.250 Ga
0.750 0.750 0.750 Nb
0.000 0.000 0.000 Tc
0.500 0.500 0.500 Os